Entry 1:
A relaxed structure of ZnRuS2N, computed with GGA-PBE.

Cell: 4.8388 4.8388 3.6374 Å, 90.00 90.00 90.00°
Space group P4/mmm (No. 123)
Asymmetric unit:
Zn 0.0000 0.0000 0.0000 x1
Ru 0.5000 0.5000 0.5000 x1
S 0.0000 0.5000 0.5000 x2
N 0.5000 0.5000 0.0000 x1

Values from the calculation:
The polymorph energy (0 for the lowest one) comes out at 0.0 meV per atom. The raw formation energy is 0.4402 eV per atom. Its crystal system is tetragonal.

Entry 2:
A relaxed structure of MgHO, computed with GGA-PBE.

Cell: 2.9057 2.9057 8.8966 Å, 90.00 90.00 90.00°
Space group I4mm (No. 107)
Asymmetric unit:
Mg 0.0000 0.0000 0.0000 x2
H 0.0000 0.0000 0.3121 x2
O 0.0000 0.0000 0.4261 x2

Values from the calculation:
The polymorph energy (0 for the lowest one) comes out at 481.4 meV per atom. Its crystal system is tetragonal.

Entry 3:
A relaxed structure of SrLaMgSc, computed with GGA-PBE.

Cell: 8.0940 8.0940 8.0940 Å, 90.00 90.00 90.00°
Space group F-43m (No. 216)
Asymmetric unit:
Sr 0.0000 0.0000 0.0000 x4
La 0.0000 0.0000 0.5000 x4
Mg 0.2500 0.2500 0.7500 x4
Sc 0.2500 0.2500 0.2500 x4

Values from the calculation:
The calculated formation energy is 0.15 eV/atom. Its crystal system is cubic.

Entry 4:
A relaxed structure of KLiMg14O15, computed with GGA-PBE.

Cell: 4.4003 8.5964 8.6394 Å, 90.00 90.00 90.00°
Space group Pmm2 (No. 25)
Asymmetric unit:
K 0.0000 0.0000 0.0000 x1
Li 0.0000 0.5000 0.0132 x1
Mg 0.0000 0.0000 0.4912 x1
Mg 0.0000 0.2288 0.7449 x2
Mg 0.0000 0.2542 0.2307 x2
Mg 0.0000 0.5000 0.4693 x1
Mg 0.5000 0.0000 0.2430 x1
Mg 0.5000 0.0000 0.7398 x1
Mg 0.5000 0.2529 0.4918 x2
Mg 0.5000 0.2577 0.9837 x2
Mg 0.5000 0.5000 0.2213 x1
Mg 0.5000 0.5000 0.7515 x1
O 0.0000 0.0000 0.2692 x1
O 0.0000 0.0000 0.7166 x1
O 0.0000 0.2651 0.5028 x2
O 0.0000 0.2812 0.9736 x2
O 0.0000 0.5000 0.2436 x1
O 0.5000 0.0000 0.4933 x1
O 0.5000 0.0000 0.9771 x1
O 0.5000 0.2521 0.2392 x2
O 0.5000 0.2583 0.7371 x2
O 0.5000 0.5000 0.5059 x1
O 0.5000 0.5000 0.9826 x1

Values from the calculation:
The polymorph energy (0 for the lowest one) comes out at 25.1 meV per atom. The raw formation energy is -2.3849 eV per atom. Its crystal system is orthorhombic.